Entry from the Alexandria database: Li2ReSi after structural relaxation (PBE).

Computed properties:
ΔE_f (raw): 99 meV per atom
Density: 7.0 Mg/m³
Calculated total energy: -5.326 eV per atom
DOS(E_F): 1.9 states/eV per cell

Lattice parameters (Å, degrees): 5.1081 5.1081 5.1081 140.26 140.26 57.45
Last column: nearest neighbours and their distance in Å.
Atoms (fractional coordinates):
Li: 0.0000 0.0000 0.0000  4 Li 2.46
Li: 0.5000 0.5000 0.0000  4 Li 2.46
Re: 0.2500 0.7500 0.5000  4 Si 2.46
Si: 0.7500 0.2500 0.5000  4 Re 2.46

---

Entry from the Alexandria database: Cu2IrBr after structural relaxation (PBE).

Computed properties:
ΔE_f (raw): 764 meV per atom
Density: 11.0 Mg/m³
Calculated total energy: -3.918 eV per atom
DOS(E_F): 2.5 states/eV per cell

Lattice parameters (Å, degrees): 4.8967 4.8967 4.8967 133.70 133.70 67.56
Last column: nearest neighbours and their distance in Å.
Atoms (fractional coordinates):
Br: 0.7500 0.2500 0.5000  4 Ir 2.72, 8 Cu 2.80
Cu: 0.0000 0.0000 0.0000  4 Cu 2.72, 4 Br 2.80, 4 Ir 2.80
Cu: 0.5000 0.5000 0.0000  4 Cu 2.72, 4 Br 2.80, 4 Ir 2.80
Ir: 0.2500 0.7500 0.5000  4 Br 2.72, 8 Cu 2.80

---

Entry from the Alexandria database: BeSiSb after structural relaxation (PBE).

Computed properties:
ΔE_f (raw): 300 meV per atom
Density: 3.9 Mg/m³
Calculated total energy: -4.124 eV per atom
DOS(E_F): 0.0 states/eV per cell

Lattice parameters (Å, degrees): 4.0675 5.8925 6.1276 104.44 90.91 108.72
Last column: nearest neighbours and their distance in Å.
Atoms (fractional coordinates):
Sb: 0.9550 0.2562 0.8306  3 Be 2.52-2.57, 1 Si 2.68
Sb: 0.9650 0.2862 0.3094  1 Be 2.62, 2 Si 2.67-2.77, 1 Sb 2.89
Si: 0.3000 0.9666 0.3191  2 Be 2.31-2.37, 1 Si 2.48
Si: 0.0106 0.7366 0.9306  3 Be 2.21-2.38
Be: 0.5846 0.9000 0.9862  3 Si 2.21-2.37, 1 Be 2.28
Be: 0.3231 0.9860 0.7004  1 Be 2.28, 2 Si 2.31-2.38, 2 Sb 2.52-2.54

---

Entry from the Alexandria database: ZnFe2Cl after structural relaxation (PBE).

Computed properties:
ΔE_f (raw): 442 meV per atom
Density: 5.8 Mg/m³
Calculated total energy: -4.570 eV per atom
DOS(E_F): 3.5 states/eV per cell

Lattice parameters (Å, degrees): 5.2515 5.2515 2.9079 72.87 72.87 115.47
Last column: nearest neighbours and their distance in Å.
Atoms (fractional coordinates):
Zn: 0.5000 0.0000 0.5000  4 Fe 2.60, 4 Cl 2.71-2.80, 2 Zn 2.91
Fe: 0.0000 0.0000 0.0000  2 Cl 2.60, 2 Zn 2.60, 6 Fe 2.71-2.91
Fe: 0.5000 0.5000 0.0000  2 Zn 2.60, 2 Cl 2.60, 6 Fe 2.71-2.91
Cl: 0.0000 0.5000 0.5000  4 Fe 2.60, 4 Zn 2.71-2.80, 2 Cl 2.91